Compound: In3AsPd
Source: Alexandria
Functional: meta-GGA SCAN
Structure: single point on PBEsol structure

Symmetry: Pm-3m, No. 221
Formation energy from the elements (eV/atom): 0.64
DOS(E_F) (states/eV per atom): 0.35
E (eV for the cell shown): -149.91

Geometry as extended XYZ:
```
5
Lattice="5.1902 0.0000 0.0000 0.0000 5.1902 0.0000 0.0000 0.0000 5.1902" Properties=species:S:1:pos:R:3 pbc="T T T"
In 0.0000 0.0000 2.5951
In 0.0000 2.5951 0.0000
In 2.5951 0.0000 0.0000
Pd 2.5951 2.5951 2.5951
As 0.0000 0.0000 0.0000
```